DFT (PBE) results for a geometry-optimized Be2CuPb structure.

Electronic total energy ... -26.76 eV for the cell shown
Density ... 7.12 g/cm³
V ... 16.83 Å³/atom
Formation energy from the elements ... 0.47 eV/atom
Space group ... I4_1/amd (141)

a b c (Å): 4.173 4.173 8.276
angles (deg): 75.40 75.40 90.00
Sites, in units of the cell vectors:
Pb  0.000  0.000  0.000
Pb  0.750  0.250  0.500
Be  0.375  0.125  0.250
Be  0.375  0.625  0.250
Be  0.375  0.625  0.750
Be  0.875  0.625  0.750
Cu  0.500  0.500  0.000
Cu  0.250  0.750  0.500